No. 1
This record from Alexandria describes an optimized crystal structure of SrCdAs2. The functional is GGA-PBE.

Raw total energy, eV per formula unit: -14.0
Formation enthalpy at 0 K, eV per atom: -0.538

```
SrCdAs2
1.0
6.4014 0.0584 -0.0018
4.8061 4.2289 -0.0018
1.5170 0.5803 4.0922
Sr As Cd
1 2 1
Direct
0.2989 0.2989 0.0858
0.9315 0.9315 0.3443
0.7108 0.7108 0.7025
0.5589 0.5589 0.3674
```

No. 2
This record from Alexandria describes an optimized crystal structure of Sr2CdAs. The functional is GGA-PBE.

Raw total energy, eV per formula unit: -11.8
Formation enthalpy at 0 K, eV per atom: -0.730

```
Sr2CdAs
1.0
-3.2229 -1.9964 5.1694
-5.5407 -2.9670 1.2624
2.1157 -4.0570 -0.2478
Sr As Cd
2 1 1
Direct
0.0102 0.0102 0.1246
0.7348 0.7348 0.6252
0.4565 0.4565 0.6249
0.2984 0.2984 0.1254
```

No. 3
This record from Alexandria describes an optimized crystal structure of SrCdAs4. The functional is GGA-PBE.

Raw total energy, eV per formula unit: -22.1
Formation enthalpy at 0 K, eV per atom: -0.156

```
SrCdAs4
1.0
0.0000 4.1250 4.1250
4.1250 0.0000 4.1250
4.1250 4.1250 0.0000
Sr Cd As
1 1 4
Direct
0.0000 0.0000 0.0000
0.7500 0.7500 0.7500
0.3815 0.3815 0.3815
0.3815 0.8554 0.3815
0.3815 0.3815 0.8554
0.8554 0.3815 0.3815
```

No. 4
This record from Alexandria describes an optimized crystal structure of SrCd2As2. The functional is GGA-PBE.

Raw total energy, eV per formula unit: -15.4
Formation enthalpy at 0 K, eV per atom: -0.510

```
SrCd2As2
1.0
-1.9521 -1.6232 -3.4957
2.3320 -3.6172 0.3773
-4.6829 -5.3459 2.4277
Cd Sr As
2 1 2
Direct
0.2500 0.7500 0.5000
0.7500 0.2500 0.5000
0.0000 0.0000 0.0000
0.3833 0.3833 0.2335
0.6167 0.6167 0.7665
```

No. 5
This record from Alexandria describes an optimized crystal structure of Sr2CdAs. The functional is GGA-PBE.

Raw total energy, eV per formula unit: -10.8
Formation enthalpy at 0 K, eV per atom: -0.466

```
Sr2CdAs
1.0
9.0365 -0.0056 -0.0034
7.9275 4.3373 -0.0034
7.9275 2.0243 3.8360
As Sr Cd
1 2 1
Direct
0.4816 0.4816 0.4816
0.2151 0.2151 0.2151
0.0287 0.0287 0.0287
0.7746 0.7746 0.7746
```

No. 6
This record from Alexandria describes an optimized crystal structure of SrCdAs2. The functional is GGA-PBE.

Raw total energy, eV per formula unit: -12.9
Formation enthalpy at 0 K, eV per atom: -0.253

```
SrCdAs2
1.0
3.7874 0.0000 0.0000
0.0000 3.7874 0.0000
0.0000 0.0000 7.1951
Sr As Cd
1 2 1
Direct
0.5000 0.5000 0.7720
0.5000 0.5000 0.1955
0.0000 0.0000 0.0723
0.0000 0.0000 0.4602
```